# 1
Density functional theory data (GGA-PBE) for a relaxed Nb7Ga5Ge crystal.

Properties
The value obtained for the energy of formation is -0.10 eV per atom. As for the crystal system: orthorhombic.

abc: 5.1985 9.2513 9.5548
angles: 90.00 90.00 90.00
Last column: nearest neighbours and their distance in Å.
Space group Imm2 (No. 44)
Inequivalent atoms, fractional coordinates:
Nb1 0.0000 0.0000 0.0000 x2  1 Nb 2.49
Nb2 0.0000 0.0000 0.2606 x2  1 Nb 2.49
Nb3 0.0000 0.3265 0.1393 x4  5 Ga 2.79-2.83, 3 Nb 2.80-3.01, 2 Ge 3.10
Nb4 0.0000 0.3384 0.6381 x4  5 Ga 2.83-2.88, 4 Nb 2.89-3.01
Nb5 0.0000 0.5000 0.3789 x2  4 Ga 2.70, 6 Nb 2.80-2.89
Ga1 0.0000 0.5000 0.8956 x2  4 Ga 2.61, 6 Nb 2.83-2.90
Ga2 0.2475 0.2441 0.3908 x8  3 Ga 2.57-2.63, 6 Nb 2.70-2.88
Ge1 0.0000 0.0000 0.6971 x2  9 Nb 2.89-3.18

# 2
Density functional theory data (GGA-PBE) for a relaxed Ta2ZnBr crystal.

Properties
The calculation puts the uncorrected formation energy at 0.46 eV/atom. As for the crystal system: monoclinic.

abc: 3.1763 4.8989 5.0776
angles: 90.00 98.47 90.00
Last column: nearest neighbours and their distance in Å.
Space group P2/m (No. 10)
Inequivalent atoms, fractional coordinates:
Ta1 0.2210 0.0000 0.2865 x2  2 Ta 2.59-2.75, 2 Zn 2.77, 2 Br 2.88
Zn1 0.5000 0.5000 0.5000 x1  4 Ta 2.77, 2 Br 2.79
Br1 0.0000 0.5000 0.0000 x1  2 Zn 2.79, 4 Ta 2.88

# 3
Density functional theory data (GGA-PBE) for a relaxed K4Cd3Hg2 crystal.

Properties
The value obtained for the energy of formation is -0.13 eV per atom. As for the crystal system: monoclinic.

abc: 18.2599 4.8139 8.2697
angles: 90.00 107.66 90.00
Last column: nearest neighbours and their distance in Å.
Space group C2/m (No. 12)
Inequivalent atoms, fractional coordinates:
K1 0.0767 0.0000 0.3754 x4  2 Hg 3.48-3.64, 4 Cd 3.72-3.84
K2 0.2323 0.5000 0.1931 x4  3 Hg 3.60-3.67, 3 Cd 3.80-3.85
Cd1 0.0000 0.5000 0.0000 x2  4 Hg 3.08, 2 Cd 3.27
Cd2 0.0998 0.5000 0.7312 x4  2 Hg 3.03, 1 Cd 3.27
Hg1 0.0963 0.0000 0.9507 x4  4 Cd 3.03-3.08

Short version: E = -183.054, -24.796, -17.838 eV/cell, in the order given.
Short version: total magnetic moment = 0.0000, 0.0000, 0.0000 μB per atom, in the order given.